No. 1
Computed, not measured: a relaxed structure of Al2InGe at the PBE-GGA level of DFT.

Lattice parameters (Å, degrees): 3.3559 3.3559 7.1299 90.00 90.00 90.00
Fractional coordinates of all 4 atoms:
Al: 0.0000 0.0000 0.2127
Al: 0.0000 0.0000 0.7873
In: 0.5000 0.5000 0.5000
Ge: 0.5000 0.5000 0.0000

Values from the calculation:
The formation energy from the elements is 0.178 eV per atom. Its symmetry is No. 123. The size of the total moment comes out at 0.0 μB per cell. For the density, the calculation gives 4.99 g/cm³. The calculation puts the total energy at -3.53 eV per atom.

---

No. 2
Computed, not measured: a relaxed structure of Li2NdSc2Pb2 at the PBE-GGA level of DFT.

Lattice parameters (Å, degrees): 9.0063 9.0063 9.0063 30.77 30.77 30.77
Fractional coordinates of all 7 atoms:
Li: 0.0698 0.0698 0.0698
Li: 0.9302 0.9302 0.9302
Nd: 0.5000 0.5000 0.5000
Sc: 0.3653 0.3653 0.3653
Sc: 0.6347 0.6347 0.6347
Pb: 0.2426 0.2426 0.2426
Pb: 0.7574 0.7574 0.7574

Values from the calculation:
The formation energy from the elements is -0.338 eV per atom. Its symmetry is No. 166. The size of the total moment comes out at 0.8 μB per cell. For the density, the calculation gives 6.49 g/cm³. The calculation puts the total energy at -4.43 eV per atom.

---

No. 3
Computed, not measured: a relaxed structure of CdRhPb at the PBE-GGA level of DFT.

Lattice parameters (Å, degrees): 4.7247 4.7247 3.2663 90.00 90.00 120.00
Fractional coordinates of all 3 atoms:
Cd: 0.0000 0.0000 0.0000
Rh: 0.3333 0.6667 0.5532
Pb: 0.6667 0.3333 0.4806

Values from the calculation:
The formation energy from the elements is 0.124 eV per atom. Its symmetry is No. 156. The size of the total moment comes out at 0.0 μB per cell. For the density, the calculation gives 11.11 g/cm³. The calculation puts the total energy at -3.87 eV per atom.

---

No. 4
Computed, not measured: a relaxed structure of LiMg2Cr at the PBE-GGA level of DFT.

Lattice parameters (Å, degrees): 3.2723 3.2723 7.1604 90.00 90.00 90.00
Fractional coordinates of all 4 atoms:
Li: 0.0000 0.0000 0.0000
Mg: 0.5000 0.5000 0.2555
Mg: 0.5000 0.5000 0.7445
Cr: 0.0000 0.0000 0.5000

Values from the calculation:
The formation energy from the elements is 0.245 eV per atom. Its symmetry is No. 123. The size of the total moment comes out at 3.9 μB per cell. For the density, the calculation gives 2.33 g/cm³. The calculation puts the total energy at -3.44 eV per atom.

---

No. 5
Computed, not measured: a relaxed structure of Tb5Mg2Sc4 at the PBE-GGA level of DFT.

Lattice parameters (Å, degrees): 11.9107 11.9107 11.9107 163.83 137.68 45.59
Fractional coordinates of all 11 atoms:
Tb: 0.0000 0.0000 0.0000
Tb: 0.0576 0.3544 0.7033
Tb: 0.3489 0.6456 0.7033
Tb: 0.6511 0.3544 0.2967
Tb: 0.9424 0.6456 0.2967
Mg: 0.4059 0.9059 0.5000
Mg: 0.5941 0.0941 0.5000
Sc: 0.2707 0.7707 0.5000
Sc: 0.3207 0.5000 0.8207
Sc: 0.6793 0.5000 0.1793
Sc: 0.7293 0.2293 0.5000

Values from the calculation:
The formation energy from the elements is 0.228 eV per atom. Its symmetry is No. 71. The size of the total moment comes out at 3.2 μB per cell. For the density, the calculation gives 5.37 g/cm³. The calculation puts the total energy at -4.47 eV per atom.

---

No. 6
Computed, not measured: a relaxed structure of Dy4SbAsS2 at the PBE-GGA level of DFT.

Lattice parameters (Å, degrees): 7.0446 4.0915 7.1160 90.00 109.61 90.00
Fractional coordinates of all 8 atoms:
Dy: 0.2317 0.0000 0.2316
Dy: 0.2418 0.5000 0.7580
Dy: 0.7582 0.5000 0.2420
Dy: 0.7683 0.0000 0.7684
Sb: 0.5000 0.5000 0.5000
As: 0.5000 0.0000 0.0000
S: 0.0000 0.0000 0.5000
S: 0.0000 0.5000 0.0000

Values from the calculation:
The calculation puts the energy relative to the elements, uncorrected at -1.639 eV per atom. Its symmetry is No. 10. The size of the total moment comes out at 0.0 μB per cell. For the density, the calculation gives 7.83 g/cm³. The calculation puts the total energy at -6.07 eV per atom.

---

No. 7
Computed, not measured: a relaxed structure of Zn2S13 at the PBE-GGA level of DFT.

Lattice parameters (Å, degrees): 7.1353 7.1353 10.8008 99.88 99.88 75.83
Fractional coordinates of all 15 atoms:
Zn: 0.0000 0.0000 0.0000
Zn: 0.2035 0.2035 0.8867
S: 0.0079 0.0079 0.7915
S: 0.1263 0.5371 0.8432
S: 0.1435 0.6641 0.0532
S: 0.2157 0.2157 0.1126
S: 0.3311 0.5897 0.7595
S: 0.5211 0.9630 0.1014
S: 0.5371 0.1263 0.8432
S: 0.5807 0.5807 0.4453
S: 0.5897 0.3311 0.7595
S: 0.6641 0.1435 0.0532
S: 0.6708 0.6708 0.6204
S: 0.6752 0.6752 0.3163
S: 0.9630 0.5211 0.1014

Values from the calculation:
The calculation puts the energy relative to the elements, uncorrected at 0.067 eV per atom. Its symmetry is No. 8. The size of the total moment comes out at 0.0 μB per cell. For the density, the calculation gives 1.75 g/cm³. The calculation puts the total energy at -3.68 eV per atom.

---

No. 8
Computed, not measured: a relaxed structure of Ba2AgAs4Au3 at the PBE-GGA level of DFT.

Lattice parameters (Å, degrees): 4.7286 4.7286 10.6961 90.00 90.00 90.00
Fractional coordinates of all 10 atoms:
Ba: 0.0000 0.5000 0.2480
Ba: 0.5000 0.0000 0.7520
Ag: 0.0000 0.0000 0.5000
As: 0.0000 0.0000 0.0000
As: 0.0000 0.5000 0.6327
As: 0.5000 0.0000 0.3673
As: 0.5000 0.5000 0.0000
Au: 0.0000 0.5000 0.8785
Au: 0.5000 0.0000 0.1215
Au: 0.5000 0.5000 0.5000

Values from the calculation:
The formation energy from the elements is -0.552 eV per atom. Its symmetry is No. 115. The size of the total moment comes out at 0.0 μB per cell. For the density, the calculation gives 8.84 g/cm³. The calculation puts the total energy at -4.06 eV per atom.

---

No. 9
Computed, not measured: a relaxed structure of SnW3C at the PBE-GGA level of DFT.

Lattice parameters (Å, degrees): 4.2309 4.2309 4.2309 90.00 90.00 90.00
Fractional coordinates of all 5 atoms:
Sn: 0.0000 0.0000 0.0000
W: 0.0000 0.5000 0.5000
W: 0.5000 0.0000 0.5000
W: 0.5000 0.5000 0.0000
C: 0.5000 0.5000 0.5000

Values from the calculation:
The formation energy from the elements is 0.404 eV per atom. Its symmetry is No. 221. The size of the total moment comes out at 0.0 μB per cell. For the density, the calculation gives 14.96 g/cm³. The calculation puts the total energy at -10.01 eV per atom.

---

No. 10
Computed, not measured: a relaxed structure of Ni2HgAs at the PBE-GGA level of DFT.

Lattice parameters (Å, degrees): 2.9148 3.6272 6.2548 90.00 90.00 90.00
Fractional coordinates of all 4 atoms:
Ni: 0.0000 0.0000 0.0000
Ni: 0.0000 0.5000 0.3773
Hg: 0.5000 0.0000 0.6119
As: 0.5000 0.5000 0.0880

Values from the calculation:
The formation energy from the elements is 0.047 eV per atom. Its symmetry is No. 25. The size of the total moment comes out at 0.0 μB per cell. For the density, the calculation gives 9.87 g/cm³. The calculation puts the total energy at -4.08 eV per atom.

---

No. 11
Computed, not measured: a relaxed structure of Na3Nb3CoSe8 at the PBE-GGA level of DFT.

Lattice parameters (Å, degrees): 8.5091 8.5091 8.5091 50.43 50.43 50.43
Fractional coordinates of all 15 atoms:
Na: 0.0000 0.5000 0.5000
Na: 0.5000 0.0000 0.5000
Na: 0.5000 0.5000 0.0000
Nb: 0.0000 0.0000 0.5000
Nb: 0.0000 0.5000 0.0000
Nb: 0.5000 0.0000 0.0000
Co: 0.5000 0.5000 0.5000
Se: 0.2401 0.2401 0.2401
Se: 0.2489 0.7289 0.7289
Se: 0.2711 0.2711 0.7511
Se: 0.2711 0.7511 0.2711
Se: 0.7289 0.2489 0.7289
Se: 0.7289 0.7289 0.2489
Se: 0.7511 0.2711 0.2711
Se: 0.7599 0.7599 0.7599

Values from the calculation:
The calculation puts the energy relative to the elements, uncorrected at -0.757 eV per atom. Its symmetry is No. 166. The size of the total moment comes out at 1.9 μB per cell. For the density, the calculation gives 5.11 g/cm³. The calculation puts the total energy at -5.37 eV per atom.

---

No. 12
Computed, not measured: a relaxed structure of FePdAu2 at the PBE-GGA level of DFT.

Lattice parameters (Å, degrees): 5.1806 5.4632 5.5020 60.71 89.62 89.96
Fractional coordinates of all 8 atoms:
Fe: 0.0000 0.0000 0.0000
Fe: 0.5000 0.0000 0.0000
Pd: 0.2493 0.6428 0.4513
Pd: 0.7507 0.3572 0.5487
Au: 0.2501 0.5670 0.9827
Au: 0.2506 0.1139 0.5191
Au: 0.7494 0.8861 0.4809
Au: 0.7499 0.4330 0.0173

Values from the calculation:
The formation energy from the elements is 0.161 eV per atom. Its symmetry is No. 2. The size of the total moment comes out at 6.9 μB per cell. For the density, the calculation gives 13.60 g/cm³. The calculation puts the total energy at -4.89 eV per atom.

---

No. 13
Computed, not measured: a relaxed structure of Tl2SbBr3O at the PBE-GGA level of DFT.

Lattice parameters (Å, degrees): 9.6786 9.6786 9.6786 154.94 144.89 43.62
Fractional coordinates of all 7 atoms:
Tl: 0.1499 0.1499 0.0000
Tl: 0.8501 0.8501 0.0000
Sb: 0.5000 0.5000 0.0000
Br: 0.0000 0.5000 0.5000
Br: 0.3330 0.3330 0.0000
Br: 0.6670 0.6670 0.0000
O: 0.5000 0.0000 0.5000

Values from the calculation:
The calculation puts the energy relative to the elements, uncorrected at -0.750 eV per atom. Its symmetry is No. 71. The size of the total moment comes out at 0.0 μB per cell. For the density, the calculation gives 5.93 g/cm³. The calculation puts the total energy at -3.44 eV per atom.

---

No. 14
Computed, not measured: a relaxed structure of CsPCBr at the PBE-GGA level of DFT.

Lattice parameters (Å, degrees): 5.0123 3.1331 7.6710 90.00 99.18 90.00
Fractional coordinates of all 4 atoms:
Cs: 0.0000 0.0000 0.0000
P: 0.3660 0.0000 0.6148
C: 0.3149 0.5000 0.7118
Br: 0.5585 0.5000 0.2536

Values from the calculation:
The calculation puts the energy relative to the elements, uncorrected at 0.211 eV per atom. Its symmetry is No. 6. The size of the total moment comes out at 0.0 μB per cell. For the density, the calculation gives 3.57 g/cm³. The calculation puts the total energy at -4.08 eV per atom.

---

No. 15
Computed, not measured: a relaxed structure of CeSn2As2Rh7 at the PBE-GGA level of DFT.

Lattice parameters (Å, degrees): 3.9278 3.9278 14.5278 95.55 95.55 89.87
Fractional coordinates of all 12 atoms:
Ce: 0.0000 0.0000 0.0000
Sn: 0.1238 0.1238 0.4015
Sn: 0.8762 0.8762 0.5985
As: 0.4114 0.4114 0.7501
As: 0.5886 0.5886 0.2499
Rh: 0.0526 0.5525 0.1497
Rh: 0.3658 0.3658 0.5792
Rh: 0.4475 0.9474 0.8503
Rh: 0.5000 0.5000 0.0000
Rh: 0.5525 0.0526 0.1497
Rh: 0.6342 0.6342 0.4208
Rh: 0.9474 0.4475 0.8503

Values from the calculation:
The formation energy from the elements is -0.384 eV per atom. Its symmetry is No. 12. The size of the total moment comes out at 0.0 μB per cell. For the density, the calculation gives 9.33 g/cm³. The calculation puts the total energy at -6.61 eV per atom.

---

No. 16
Computed, not measured: a relaxed structure of Y3AlB2Pt9 at the PBE-GGA level of DFT.

Lattice parameters (Å, degrees): 5.7369 5.7369 9.1761 90.00 90.00 120.00
Fractional coordinates of all 15 atoms:
Y: 0.0000 0.0000 0.0000
Y: 0.3333 0.6667 0.6042
Y: 0.6667 0.3333 0.3958
Al: 0.0000 0.0000 0.5000
B: 0.3333 0.6667 0.1496
B: 0.6667 0.3333 0.8504
Pt: 0.0000 0.5000 0.0000
Pt: 0.1643 0.3287 0.2894
Pt: 0.1643 0.8357 0.2894
Pt: 0.3287 0.1643 0.7106
Pt: 0.5000 0.0000 0.0000
Pt: 0.5000 0.5000 0.0000
Pt: 0.6713 0.8357 0.2894
Pt: 0.8357 0.1643 0.7106
Pt: 0.8357 0.6713 0.7106

Values from the calculation:
The formation energy from the elements is -0.915 eV per atom. Its symmetry is No. 164. The size of the total moment comes out at 0.0 μB per cell. For the density, the calculation gives 13.15 g/cm³. The calculation puts the total energy at -6.97 eV per atom.

---

No. 17
Computed, not measured: a relaxed structure of RbCr2H2 at the PBE-GGA level of DFT.

Lattice parameters (Å, degrees): 8.0830 8.0830 2.8706 90.00 90.00 90.00
Fractional coordinates of all 10 atoms:
Rb: 0.0000 0.0000 0.0000
Rb: 0.5000 0.5000 0.0000
Cr: 0.0795 0.4205 0.0000
Cr: 0.4205 0.9205 0.0000
Cr: 0.5795 0.0795 0.0000
Cr: 0.9205 0.5795 0.0000
H: 0.0919 0.5919 0.5000
H: 0.4081 0.0919 0.5000
H: 0.5919 0.9081 0.5000
H: 0.9081 0.4081 0.5000

Values from the calculation:
Its symmetry is No. 127. The size of the total moment comes out at 3.4 μB per cell. For the density, the calculation gives 3.39 g/cm³. The calculation puts the total energy at -4.43 eV per atom.

---

No. 18
Computed, not measured: a relaxed structure of Ba3Ta at the PBE-GGA level of DFT.

Lattice parameters (Å, degrees): 3.6125 5.7790 7.4577 90.00 90.00 90.00
Fractional coordinates of all 4 atoms:
Ba: 0.0000 0.0000 0.0000
Ba: 0.0000 0.5000 0.3218
Ba: 0.5000 0.0000 0.5742
Ta: 0.5000 0.5000 0.7830

Values from the calculation:
The formation energy from the elements is 1.004 eV per atom. Its symmetry is No. 25. The size of the total moment comes out at 0.0 μB per cell. For the density, the calculation gives 6.32 g/cm³. The calculation puts the total energy at -3.40 eV per atom.

---

No. 19
Computed, not measured: a relaxed structure of PmDyTm4 at the PBE-GGA level of DFT.

Lattice parameters (Å, degrees): 6.5375 6.5375 6.5375 60.00 60.00 60.00
Fractional coordinates of all 6 atoms:
Pm: 0.0000 0.0000 0.0000
Dy: 0.7500 0.7500 0.7500
Tm: 0.3755 0.3755 0.3755
Tm: 0.3755 0.3755 0.8736
Tm: 0.3755 0.8736 0.3755
Tm: 0.8736 0.3755 0.3755

Values from the calculation:
The formation energy from the elements is 0.284 eV per atom. Its symmetry is No. 216. The size of the total moment comes out at 1.5 μB per cell. For the density, the calculation gives 8.26 g/cm³. The calculation puts the total energy at -4.26 eV per atom.

---

No. 20
Computed, not measured: a relaxed structure of Ti4Nb3Al at the PBE-GGA level of DFT.

Lattice parameters (Å, degrees): 4.5610 4.5610 6.5904 90.00 90.00 90.00
Fractional coordinates of all 8 atoms:
Ti: 0.0000 0.5000 0.2469
Ti: 0.0000 0.5000 0.7531
Ti: 0.5000 0.0000 0.2469
Ti: 0.5000 0.0000 0.7531
Nb: 0.0000 0.0000 0.0000
Nb: 0.0000 0.0000 0.5000
Nb: 0.5000 0.5000 0.0000
Al: 0.5000 0.5000 0.5000

Values from the calculation:
The formation energy from the elements is -0.098 eV per atom. Its symmetry is No. 123. The size of the total moment comes out at 0.0 μB per cell. For the density, the calculation gives 6.02 g/cm³. The calculation puts the total energy at -8.29 eV per atom.